A relaxed structure of ZnCo4Si, computed with PBE.

## Properties
ρ = 7.58 g cm⁻³
SG = No. 216
E_tot = -5.686 eV per atom

a = 4.6725 Å, b = 4.6725 Å, c = 4.6725 Å
α = 60.00°, β = 60.00°, γ = 60.00°
Closest atoms and distances in Å follow each position.
Fractional positions:
Zn 0.0000 0.0000 0.0000  12 Co 2.74, 4 Si 2.86
Co 0.1257 0.6248 0.6248  6 Co 2.33-2.34
Co 0.6248 0.1257 0.6248  6 Co 2.33-2.34
Co 0.6248 0.6248 0.1257  6 Co 2.33-2.34
Co 0.6248 0.6248 0.6248  6 Co 2.33-2.34
Si 0.2500 0.2500 0.2500  12 Co 2.74, 4 Zn 2.86